VASP calculation (GGA-PBE) on KYFe3 after structural relaxation.

Geometry as POSCAR:
```
KYFe3
1.0
5.205 0.000 0.000
0.000 5.205 0.000
0.000 0.000 5.205
K Y Fe
1 1 3
direct
0.000 0.000 0.000
0.500 0.500 0.500
0.000 0.500 0.500
0.500 0.000 0.500
0.500 0.500 0.000
```

The calculation puts the total energy at -5.0223 eV per atom. The calculation puts the relative energy among the computed polymorphs at 0 kJ/mol of formula units. The formation energy comes out at 1.57 eV per atom.